No. 1
Here is an optimized crystal structure of PrMgAgTe3 from Alexandria. Energies are from GGA-PBE.

Output
Magnetic moment: 0.0 μB per formula unit
Formation energy (no corrections): -901.7 meV/atom
Volume: 348 Å³/cell

Cell: 8.533 4.315 9.693 Å, 90.00 102.97 90.00°
Fractional positions:
Pr (0.190, 0.250, 0.249)
Pr (0.810, 0.750, 0.751)
Mg (0.335, 0.750, 0.838)
Mg (0.665, 0.250, 0.162)
Ag (0.083, 0.250, 0.583)
Ag (0.917, 0.750, 0.417)
Te (0.093, 0.250, 0.875)
Te (0.275, 0.750, 0.514)
Te (0.421, 0.750, 0.146)
Te (0.579, 0.250, 0.854)
Te (0.725, 0.250, 0.486)
Te (0.907, 0.750, 0.125)



No. 2
Here is an optimized crystal structure of Pr2SmTlO6 from Alexandria. Energies are from GGA-PBE.

Output
Magnetic moment: 0.0 μB per formula unit
Formation energy (no corrections): -2629.9 meV/atom
Volume: 165 Å³/cell

Cell: 6.263 6.263 6.263 Å, 57.74 57.74 57.74°
Fractional positions:
Pr (0.000, 0.000, 0.000)
Pr (0.499, 0.499, 0.499)
Sm (0.722, 0.722, 0.722)
Tl (0.220, 0.220, 0.220)
O (0.098, 0.831, 0.411)
O (0.335, 0.595, 0.914)
O (0.411, 0.098, 0.831)
O (0.595, 0.914, 0.335)
O (0.831, 0.411, 0.098)
O (0.914, 0.335, 0.595)



No. 3
Here is an optimized crystal structure of LiCr2Tc from Alexandria. Energies are from GGA-PBE.

Output
Formation enthalpy at 0 K: 0.42 eV per atom
Magnetic moment: 0.0 μB per formula unit
Volume: 49 Å³/cell

Cell: 3.576 3.576 3.812 Å, 90.00 90.00 90.00°
Fractional positions:
Li (0.000, 0.000, 0.000)
Cr (0.000, 0.500, 0.500)
Cr (0.500, 0.000, 0.500)
Tc (0.500, 0.500, 0.000)



No. 4
Here is an optimized crystal structure of Ba2InH6Rh from Alexandria. Energies are from GGA-PBE.

Output
Magnetic moment: 0.0 μB per formula unit
Total DFT energy (no corrections): -0.1390 hartree per atom
Volume: 146 Å³/cell

Cell: 5.817 5.817 5.977 Å, 119.43 119.43 89.36°
Fractional positions:
Ba (0.250, 0.750, 0.000)
Ba (0.750, 0.250, 0.000)
In (0.000, 0.000, 0.500)
H (0.288, 0.712, 0.500)
H (0.291, 0.291, 0.501)
H (0.299, 0.299, 0.096)
H (0.701, 0.701, 0.904)
H (0.709, 0.709, 0.499)
H (0.712, 0.288, 0.500)
Rh (0.500, 0.500, 0.500)



No. 5
Here is an optimized crystal structure of Pr8CuRh5 from Alexandria. Energies are from GGA-PBE.

Output
Formation enthalpy at 0 K: -0.53 eV per atom
Magnetic moment: 0.0 μB per formula unit
Volume: 363 Å³/cell

Cell: 7.780 7.780 7.780 Å, 109.31 109.31 109.80°
Fractional positions:
Pr (0.007, 0.382, 0.252)
Pr (0.126, 0.263, 0.748)
Pr (0.130, 0.756, 0.748)
Pr (0.244, 0.993, 0.375)
Pr (0.515, 0.378, 0.252)
Pr (0.618, 0.870, 0.625)
Pr (0.622, 0.874, 0.137)
Pr (0.737, 0.485, 0.863)
Cu (0.000, 0.000, 0.000)
Rh (0.244, 0.627, 0.123)
Rh (0.373, 0.496, 0.617)
Rh (0.504, 0.122, 0.877)
Rh (0.750, 0.250, 0.500)
Rh (0.878, 0.756, 0.383)



No. 6
Here is an optimized crystal structure of Tb3Er4S8 from Alexandria. Energies are from GGA-PBE.

Output
Magnetic moment: 0.0 μB per formula unit
Formation energy (no corrections): -2043.4 meV/atom
Volume: 332 Å³/cell

Cell: 7.773 7.773 7.767 Å, 119.95 119.95 90.01°
Fractional positions:
Tb (0.000, 0.000, 0.000)
Tb (0.000, 0.500, 0.000)
Tb (0.500, 0.000, 0.000)
Er (0.000, 0.500, 0.500)
Er (0.500, 0.000, 0.500)
Er (0.500, 0.500, 0.000)
Er (0.500, 0.500, 0.500)
S (0.250, 0.750, 0.500)
S (0.252, 0.252, 0.504)
S (0.252, 0.748, 0.000)
S (0.253, 0.253, 0.001)
S (0.747, 0.747, 0.999)
S (0.748, 0.252, 0.000)
S (0.748, 0.748, 0.496)
S (0.750, 0.250, 0.500)



No. 7
Here is an optimized crystal structure of Pm4GeS2Br from Alexandria. Energies are from GGA-PBE.

Output
Magnetic moment: 0.0 μB per formula unit
Formation energy (no corrections): -1571.2 meV/atom
Volume: 204 Å³/cell

Cell: 7.171 4.121 7.283 Å, 90.00 108.90 90.00°
Fractional positions:
Pm (0.223, 0.000, 0.221)
Pm (0.237, 0.500, 0.763)
Pm (0.763, 0.500, 0.237)
Pm (0.777, 0.000, 0.779)
Ge (0.500, 0.000, 0.000)
S (0.000, 0.000, 0.500)
S (0.000, 0.500, 0.000)
Br (0.500, 0.500, 0.500)



No. 8
Here is an optimized crystal structure of CrIrRu2Cl from Alexandria. Energies are from GGA-PBE.

Output
Magnetic moment: 0.1 μB per formula unit
Formation energy (no corrections): 1588.6 meV/atom
Volume: 81 Å³/cell

Cell: 4.287 4.287 4.398 Å, 90.00 90.00 90.00°
Fractional positions:
Cr (0.000, 0.000, 0.000)
Ir (0.500, 0.500, 0.000)
Ru (0.000, 0.500, 0.500)
Ru (0.500, 0.000, 0.500)
Cl (0.500, 0.500, 0.500)



No. 9
Here is an optimized crystal structure of SiSeIN2 from Alexandria. Energies are from GGA-PBE.

Output
Magnetic moment: 0.0 μB per formula unit
Formation energy (no corrections): 954.9 meV/atom
Distance to the lowest polymorph of the same formula: 0.0 meV/atom
Volume: 87 Å³/cell

Cell: 3.711 3.711 6.334 Å, 90.00 90.00 90.00°
Fractional positions:
Si (0.000, 0.000, 0.000)
Se (0.000, 0.000, 0.500)
I (0.500, 0.500, 0.500)
N (0.000, 0.500, 0.000)
N (0.500, 0.000, 0.000)